Computed, not measured: SmY14In after structural relaxation at the GGA-PBE level of DFT.

The density of states at the Fermi level is 1.552 states/eV/atom. As for the formation enthalpy at 0 K: -26 meV/atom. As for the spin magnetization: 0.00 μB per formula unit.

It has space group Amm2 (No. 38), with a = 10.930 Å, b = 8.453 Å, c = 11.046 Å, α = 90.00°, β = 90.00° and γ = 90.00°. The distinct sites, in fractional coordinates, are Sm at (0.000, 0.000, 0.000), Y at (0.000, 0.206, 0.269), Y at (0.221, 0.000, 0.766), Y at (0.243, 0.208, 0.485), Y at (0.275, 0.000, 0.205), Y at (0.500, 0.000, 0.427), Y at (0.500, 0.000, 0.977), Y at (0.500, 0.201, 0.707) and In at (0.000, 0.000, 0.550).